Density functional theory data (PBE) for a relaxed structure of AgIrW2.

## Properties
formation energy = 0.415 eV/atom
total moment = 0.00 μB per formula unit
energy above the lowest structure with this stoichiometry = 68.6 kJ/mol of formula units

Cell lengths 3.3114, 3.3114, 5.9454 Å; angles 90.00, 90.00, 90.00 degrees
With the nearest neighbours (Å) after each atom.
Atoms (fractional coordinates):
Ir: 0.5000 0.5000 0.7737  5 W 2.66-2.74, 4 Ag 2.84
Ag: 0.0000 0.0000 0.5046  4 Ir 2.84, 6 W 2.84-3.07
W: 0.0000 0.0000 0.9875  4 Ir 2.66, 4 W 2.76, 1 Ag 2.87
W: 0.5000 0.5000 0.2342  1 Ir 2.74, 4 W 2.76, 4 Ag 2.84